# 1
Compound: SrRuCO5
Source: the Alexandria database
Functional: PBE-GGA
Structure: relaxed

Properties
Raw formation energy ... -1.469 eV/atom
Spin magnetization ... 0.00 μB per formula unit
Crystal system ... monoclinic

Cell lengths 5.4275, 5.4275, 7.0106 Å; angles 104.44, 104.44, 106.02 degrees
Fractional coordinates of all 16 atoms:
Sr1 0.3468 0.6532 0.2500
Sr2 0.6532 0.3468 0.7500
Ru1 0.0000 0.0000 0.5000
Ru2 0.0000 0.0000 0.0000
C1 0.6922 0.3078 0.2500
C2 0.3078 0.6922 0.7500
O1 0.0619 0.9381 0.2500
O2 0.9381 0.0619 0.7500
O3 0.8820 0.3218 0.1438
O4 0.1180 0.6782 0.8562
O5 0.6782 0.1180 0.3562
O6 0.3218 0.8820 0.6438
O7 0.7560 0.5679 0.4056
O8 0.2440 0.4321 0.5944
O9 0.4321 0.2440 0.0944
O10 0.5679 0.7560 0.9056


# 2
Compound: RbRu3I
Source: the Alexandria database
Functional: PBE-GGA
Structure: relaxed

Properties
Raw formation energy ... 1.652 eV/atom
Spin magnetization ... 4.07 μB per formula unit
Crystal system ... cubic
Offset from the most stable computed form ... 0.0 kJ per mole of atoms

Cell lengths 5.0132, 5.0132, 5.0132 Å; angles 90.00, 90.00, 90.00 degrees
Fractional coordinates of all 5 atoms:
I1 0.0000 0.0000 0.0000
Ru1 0.0000 0.5000 0.0000
Ru2 0.0000 0.0000 0.5000
Ru3 0.5000 0.0000 0.0000
Rb1 0.5000 0.5000 0.5000


# 3
Compound: BaLiAl2
Source: the Alexandria database
Functional: PBE-GGA
Structure: relaxed

Properties
Spin magnetization ... 0.00 μB per formula unit
Energy of formation from the pure elements ... 21.50 kJ per mole of atoms
Crystal system ... tetragonal
Offset from the most stable computed form ... 38.7 kJ per mole of atoms

Cell lengths 5.3250, 5.3250, 4.0389 Å; angles 90.00, 90.00, 90.00 degrees
Fractional coordinates of all 4 atoms:
Al1 0.0000 0.0000 0.0000
Al2 0.5000 0.5000 0.0000
Ba1 0.5000 0.0000 0.5000
Li1 0.0000 0.5000 0.5000


# 4
Compound: Nd3Sc4Tl4
Source: the Alexandria database
Functional: PBE-GGA
Structure: relaxed

Properties
Spin magnetization ... 1.67 μB per formula unit
Energy of formation from the pure elements ... -24.12 kJ per mole of atoms
Crystal system ... orthorhombic

Cell lengths 4.8436, 7.8242, 9.3182 Å; angles 114.82, 105.06, 90.00 degrees
Fractional coordinates of all 11 atoms:
Nd1 0.1171 0.1171 0.2342
Nd2 0.8829 0.8829 0.7658
Nd3 0.0000 0.5000 0.0000
Sc1 0.3259 0.1238 0.6517
Sc2 0.6741 0.4720 0.3483
Sc3 0.6741 0.8762 0.3483
Sc4 0.3259 0.5280 0.6517
Tl1 0.2118 0.7118 0.4236
Tl2 0.7882 0.2882 0.5764
Tl3 0.5000 0.8003 0.0000
Tl4 0.5000 0.1997 0.0000


# 5
Compound: BaPrWN3
Source: the Alexandria database
Functional: PBE-GGA
Structure: relaxed

Properties
Raw formation energy ... -0.846 eV/atom
Spin magnetization ... 0.00 μB per formula unit
Crystal system ... monoclinic

Cell lengths 4.0436, 7.2295, 7.7100 Å; angles 104.95, 90.00, 106.24 degrees
Fractional coordinates of all 12 atoms:
Ba1 0.3606 0.7212 0.9291
Ba2 0.6394 0.2788 0.0709
Pr1 0.6586 0.3171 0.5755
Pr2 0.3414 0.6829 0.4245
W1 0.9993 0.9985 0.3143
W2 0.0007 0.0015 0.6857
N1 0.8564 0.7127 0.2026
N2 0.8464 0.6929 0.6454
N3 0.5041 0.0083 0.2970
N4 0.1536 0.3071 0.3546
N5 0.4959 0.9917 0.7030
N6 0.1436 0.2873 0.7974


# 6
Compound: PmAl2CdAu4
Source: the Alexandria database
Functional: PBE-GGA
Structure: relaxed

Properties
Spin magnetization ... 0.00 μB per formula unit
Energy of formation from the pure elements ... -46.51 kJ per mole of atoms
Crystal system ... trigonal

Cell lengths 4.4191, 4.4191, 10.0073 Å; angles 77.24, 77.24, 60.00 degrees
Fractional coordinates of all 8 atoms:
Pm1 0.0000 0.0000 0.0000
Al1 0.7533 0.7533 0.7400
Al2 0.2467 0.2467 0.2600
Cd1 0.5000 0.5000 0.5000
Au1 0.3947 0.3947 0.8158
Au2 0.8826 0.8826 0.3522
Au3 0.1174 0.1174 0.6478
Au4 0.6053 0.6053 0.1842


# 7
Compound: LaEr2ZrSc4
Source: the Alexandria database
Functional: PBE-GGA
Structure: relaxed

Properties
Spin magnetization ... 0.00 μB per formula unit
Energy of formation from the pure elements ... 6.46 kJ per mole of atoms
Crystal system ... tetragonal

Cell lengths 4.8007, 4.8069, 10.5161 Å; angles 62.79, 90.00, 90.00 degrees
Fractional coordinates of all 8 atoms:
La1 0.5000 0.5000 0.0000
Er1 0.0000 0.0000 0.0000
Er2 0.5000 0.0000 0.5000
Zr1 0.0000 0.5000 0.5000
Sc1 0.0000 0.7648 0.7352
Sc2 0.0000 0.2352 0.2648
Sc3 0.5000 0.7351 0.2648
Sc4 0.5000 0.2649 0.7352


# 8
Compound: BeFeAs2
Source: the Alexandria database
Functional: PBE-GGA
Structure: relaxed

Properties
Spin magnetization ... 0.63 μB per formula unit
Energy of formation from the pure elements ... 22.11 kJ per mole of atoms
Crystal system ... monoclinic
Offset from the most stable computed form ... 23.2 kJ per mole of atoms

Cell lengths 3.9669, 3.9669, 4.8255 Å; angles 83.38, 83.38, 47.55 degrees
Fractional coordinates of all 4 atoms:
Be1 0.7500 0.7500 0.7500
As1 0.9758 0.9758 0.0152
As2 0.5242 0.5242 0.4848
Fe1 0.2500 0.2500 0.2500


# 9
Compound: KCoCuBr6
Source: the Alexandria database
Functional: PBE-GGA
Structure: relaxed

Properties
Raw formation energy ... -0.568 eV/atom
Spin magnetization ... 1.12 μB per formula unit
Crystal system ... trigonal

Cell lengths 6.5688, 6.5695, 7.3710 Å; angles 90.00, 90.01, 60.01 degrees
Fractional coordinates of all 9 atoms:
K1 0.9999 0.9999 0.0000
Co1 0.3333 0.3333 0.5000
Cu1 0.6667 0.6667 0.5000
Br1 0.0198 0.3612 0.3100
Br2 0.3611 0.0199 0.6899
Br3 0.6191 0.3612 0.6899
Br4 0.0199 0.6190 0.6897
Br5 0.3611 0.6191 0.3102
Br6 0.6189 0.0200 0.3103


# 10
Compound: Nb3Mo3W2
Source: the Alexandria database
Functional: PBE-GGA
Structure: relaxed

Properties
Spin magnetization ... 0.00 μB per formula unit
Energy of formation from the pure elements ... 28.72 kJ per mole of atoms
Crystal system ... orthorhombic
Offset from the most stable computed form ... 36.3 kJ per mole of atoms

Cell lengths 4.5311, 5.2297, 13.4206 Å; angles 90.00, 90.00, 115.67 degrees
Fractional coordinates of all 16 atoms:
Nb1 0.9187 0.8373 0.4056
Nb2 0.0813 0.1627 0.9056
Nb3 0.9187 0.8373 0.0944
Nb4 0.0813 0.1627 0.5944
Nb5 0.7191 0.4381 0.2500
Nb6 0.2809 0.5619 0.7500
Mo1 0.5829 0.1659 0.4208
Mo2 0.4171 0.8341 0.9208
Mo3 0.5829 0.1659 0.0792
Mo4 0.4171 0.8341 0.5792
Mo5 0.4020 0.8041 0.2500
Mo6 0.5980 0.1959 0.7500
W1 0.7559 0.5118 0.9154
W2 0.2441 0.4882 0.4154
W3 0.7559 0.5118 0.5846
W4 0.2441 0.4882 0.0846


# 11
Compound: K2Hg8Bi
Source: the Alexandria database
Functional: PBE-GGA
Structure: relaxed

Properties
Spin magnetization ... 0.00 μB per formula unit
Energy of formation from the pure elements ... -14.30 kJ per mole of atoms
Crystal system ... monoclinic

Cell lengths 5.7072, 8.5884, 8.2572 Å; angles 114.91, 110.22, 90.00 degrees
Fractional coordinates of all 11 atoms:
K1 0.2252 0.6768 0.4505
K2 0.7748 0.3232 0.5495
Hg1 0.5845 0.4378 0.1689
Hg2 0.3374 0.1366 0.6749
Hg3 0.1329 0.1144 0.2659
Hg4 0.0040 0.7045 0.0080
Hg5 0.8671 0.8856 0.7341
Hg6 0.6626 0.8634 0.3251
Hg7 0.4155 0.5622 0.8311
Hg8 0.9960 0.2955 0.9920
Bi1 0.5000 0.0000 0.0000


# 12
Compound: Li3Pa3TiSe8
Source: the Alexandria database
Functional: PBE-GGA
Structure: relaxed

Properties
Raw formation energy ... -1.276 eV/atom
Spin magnetization ... 5.91 μB per formula unit
Crystal system ... trigonal

Cell lengths 7.8815, 7.8817, 8.0964 Å; angles 119.14, 90.00, 120.00 degrees
Fractional coordinates of all 15 atoms:
Li1 0.0000 0.0000 0.0000
Li2 0.0000 0.5000 0.0000
Li3 0.5000 0.5000 0.0000
Pa1 0.5000 0.0000 0.5000
Pa2 0.5000 0.5000 0.5000
Pa3 0.0000 0.5000 0.5000
Ti1 0.0000 0.0000 0.5000
Se1 0.2436 0.4872 0.2309
Se2 0.7564 0.5128 0.7691
Se3 0.7610 0.5221 0.2545
Se4 0.2390 0.4779 0.7455
Se5 0.7611 0.9933 0.2545
Se6 0.2389 0.0067 0.7455
Se7 0.2322 0.9933 0.2545
Se8 0.7678 0.0067 0.7455


Let's list calculated volume in order: 11.3; 25.2; 28.6; 27.9; 17.4; 20.5; 27.0; 13.9; 30.6; 17.9; 30.9; 24.0 A^3/atom.